[1]
Density functional theory data (PBE) for an optimized crystal structure of CrHgAs2.

CIF file:
```
data_CrHgAs2
_chemical_formula_sum 'Cr1 Hg1 As2'
_space_group_name_H-M_alt 'P 1'
_space_group_IT_number 1
_cell_length_a 6.4189
_cell_length_b 6.4189
_cell_length_c 6.4189
_cell_angle_alpha 154.05
_cell_angle_beta 135.39
_cell_angle_gamma 52.34
loop_
_space_group_symop_operation_xyz
'x,y,z'
loop_
_atom_site_label
_atom_site_type_symbol
_atom_site_fract_x
_atom_site_fract_y
_atom_site_fract_z
Hg1 Hg 0.2500 0.7500 0.5000
As1 As 0.9183 0.9183 0.0000
As2 As 0.5817 0.5817 0.0000
Cr1 Cr 0.7500 0.2500 0.5000
```

Properties
Energy relative to the elements (eV/atom): 0.2430
Total DFT energy (no corrections) (eV/atom): -4.56
M_tot (Bohr magnetons per cell): 0.0

=====

[2]
Density functional theory data (PBE) for an optimized crystal structure of Te2AsBr.

CIF file:
```
data_Te2AsBr
_chemical_formula_sum 'Te2 As1 Br1'
_space_group_name_H-M_alt 'P 1'
_space_group_IT_number 1
_cell_length_a 9.2201
_cell_length_b 9.2201
_cell_length_c 9.2201
_cell_angle_alpha 26.15
_cell_angle_beta 26.15
_cell_angle_gamma 26.15
loop_
_space_group_symop_operation_xyz
'x,y,z'
loop_
_atom_site_label
_atom_site_type_symbol
_atom_site_fract_x
_atom_site_fract_y
_atom_site_fract_z
Te1 Te 0.8953 0.8953 0.8953
Te2 Te 0.1047 0.1047 0.1047
As1 As 0.5000 0.5000 0.5000
Br1 Br 0.0000 0.0000 0.0000
```

Properties
Offset from the most stable computed form (meV per atom): 78
Energy relative to the elements, uncorrected (eV/atom): 0.012
Total DFT energy (no corrections) (eV/atom): -3.14
M_tot (Bohr magnetons per cell): 0.0

=====

[3]
Density functional theory data (PBE) for an optimized crystal structure of Pm5TlPd3.

CIF file:
```
data_Pm5TlPd3
_chemical_formula_sum 'Pm10 Tl2 Pd6'
_space_group_name_H-M_alt 'P 1'
_space_group_IT_number 1
_cell_length_a 7.1049
_cell_length_b 8.8133
_cell_length_c 8.8048
_cell_angle_alpha 120.03
_cell_angle_beta 90.00
_cell_angle_gamma 90.00
loop_
_space_group_symop_operation_xyz
'x,y,z'
loop_
_atom_site_label
_atom_site_type_symbol
_atom_site_fract_x
_atom_site_fract_y
_atom_site_fract_z
Pd1 Pd 0.7500 0.6203 0.0000
Pd2 Pd 0.7500 0.3792 0.3794
Pd3 Pd 0.2500 0.6208 0.6206
Pd4 Pd 0.2500 0.3797 0.0000
Pd5 Pd 0.2500 0.0002 0.3794
Pd6 Pd 0.7500 0.9998 0.6206
Pm1 Pm 0.7500 0.7033 0.7034
Pm2 Pm 0.0000 0.6666 0.3332
Pm3 Pm 0.2500 0.7037 0.0000
Pm4 Pm 0.5000 0.6666 0.3332
Pm5 Pm 0.0000 0.3334 0.6668
Pm6 Pm 0.5000 0.3334 0.6668
Pm7 Pm 0.2500 0.0001 0.7034
Pm8 Pm 0.7500 0.9998 0.2966
Pm9 Pm 0.2500 0.2967 0.2966
Pm10 Pm 0.7500 0.2963 0.0000
Tl1 Tl 0.5000 0.0000 0.0000
Tl2 Tl 0.0000 0.0000 0.0000
```

Properties
Energy relative to the elements (eV/atom): -0.4713
Total DFT energy (no corrections) (eV/atom): -5.10
M_tot (Bohr magnetons per cell): 0.0

=====

[4]
Density functional theory data (PBE) for an optimized crystal structure of Nd6In22Pt13.

CIF file:
```
data_Nd6In22Pt13
_chemical_formula_sum 'Nd6 In22 Pt13'
_space_group_name_H-M_alt 'P 1'
_space_group_IT_number 1
_cell_length_a 14.3861
_cell_length_b 14.3861
_cell_length_c 15.2050
_cell_angle_alpha 67.90
_cell_angle_beta 67.90
_cell_angle_gamma 17.91
loop_
_space_group_symop_operation_xyz
'x,y,z'
loop_
_atom_site_label
_atom_site_type_symbol
_atom_site_fract_x
_atom_site_fract_y
_atom_site_fract_z
In1 In 0.7280 0.7280 0.7530
In2 In 0.0430 0.0430 0.6594
In3 In 0.2870 0.2870 0.4347
In4 In 0.2380 0.2380 0.0833
In5 In 0.9570 0.9570 0.3406
In6 In 0.4343 0.4343 0.5027
In7 In 0.7620 0.7620 0.9167
In8 In 0.6759 0.6759 0.2773
In9 In 0.7130 0.7130 0.5653
In10 In 0.5910 0.5910 0.0481
In11 In 0.5296 0.5296 0.8195
In12 In 0.4704 0.4704 0.1805
In13 In 0.9447 0.9447 0.0653
In14 In 0.3241 0.3241 0.7227
In15 In 0.8762 0.8762 0.8311
In16 In 0.1438 0.1438 0.7178
In17 In 0.1238 0.1238 0.1689
In18 In 0.0553 0.0553 0.9347
In19 In 0.8562 0.8562 0.2822
In20 In 0.5657 0.5657 0.4973
In21 In 0.4090 0.4090 0.9519
In22 In 0.2720 0.2720 0.2470
Pt1 Pt 0.0000 0.0000 0.5000
Pt2 Pt 0.9677 0.9677 0.8623
Pt3 Pt 0.3206 0.3206 0.9109
Pt4 Pt 0.6184 0.6184 0.8499
Pt5 Pt 0.6070 0.6070 0.6369
Pt6 Pt 0.9005 0.9005 0.6369
Pt7 Pt 0.7479 0.7479 0.3638
Pt8 Pt 0.2521 0.2521 0.6362
Pt9 Pt 0.0323 0.0323 0.1377
Pt10 Pt 0.6794 0.6794 0.0891
Pt11 Pt 0.3930 0.3930 0.3631
Pt12 Pt 0.3816 0.3816 0.1501
Pt13 Pt 0.0995 0.0995 0.3631
Nd1 Nd 0.1640 0.1640 0.4674
Nd2 Nd 0.1780 0.1780 0.9205
Nd3 Nd 0.5469 0.5469 0.3022
Nd4 Nd 0.4531 0.4531 0.6978
Nd5 Nd 0.8220 0.8220 0.0795
Nd6 Nd 0.8360 0.8360 0.5326
```

Properties
Energy relative to the elements (eV/atom): -0.6665
Total DFT energy (no corrections) (eV/atom): -4.75
M_tot (Bohr magnetons per cell): 0.0

=====

[5]
Density functional theory data (PBE) for an optimized crystal structure of MgScMn.

CIF file:
```
data_MgScMn
_chemical_formula_sum 'Mg1 Sc1 Mn1'
_space_group_name_H-M_alt 'P 1'
_space_group_IT_number 1
_cell_length_a 4.5805
_cell_length_b 4.5805
_cell_length_c 4.5805
_cell_angle_alpha 60.00
_cell_angle_beta 60.00
_cell_angle_gamma 60.00
loop_
_space_group_symop_operation_xyz
'x,y,z'
loop_
_atom_site_label
_atom_site_type_symbol
_atom_site_fract_x
_atom_site_fract_y
_atom_site_fract_z
Mg1 Mg 0.5000 0.5000 0.5000
Sc1 Sc 0.0000 0.0000 0.0000
Mn1 Mn 0.7500 0.7500 0.7500
```

Properties
Offset from the most stable computed form (meV per atom): 450
Energy relative to the elements (eV/atom): 0.5227
Total DFT energy (no corrections) (eV/atom): -5.18
M_tot (Bohr magnetons per cell): 2.8

=====

[6]
Density functional theory data (PBE) for an optimized crystal structure of TaReAs2.

CIF file:
```
data_TaReAs2
_chemical_formula_sum 'Ta1 Re1 As2'
_space_group_name_H-M_alt 'P 1'
_space_group_IT_number 1
_cell_length_a 3.1979
_cell_length_b 5.0978
_cell_length_c 4.0993
_cell_angle_alpha 90.00
_cell_angle_beta 90.00
_cell_angle_gamma 90.00
loop_
_space_group_symop_operation_xyz
'x,y,z'
loop_
_atom_site_label
_atom_site_type_symbol
_atom_site_fract_x
_atom_site_fract_y
_atom_site_fract_z
As1 As 0.0000 0.0000 0.0000
As2 As 0.5000 0.5000 0.0000
Re1 Re 0.5000 0.0000 0.5000
Ta1 Ta 0.0000 0.5000 0.5000
```

Properties
Offset from the most stable computed form (meV per atom): 473
Energy relative to the elements (eV/atom): 0.3807
Total DFT energy (no corrections) (eV/atom): -8.02
M_tot (Bohr magnetons per cell): 0.0

=====

[7]
Density functional theory data (PBE) for an optimized crystal structure of AcLaCu.

CIF file:
```
data_AcLaCu
_chemical_formula_sum 'Ac1 La1 Cu1'
_space_group_name_H-M_alt 'P 1'
_space_group_IT_number 1
_cell_length_a 5.1946
_cell_length_b 5.1946
_cell_length_c 5.1946
_cell_angle_alpha 60.00
_cell_angle_beta 60.00
_cell_angle_gamma 60.00
loop_
_space_group_symop_operation_xyz
'x,y,z'
loop_
_atom_site_label
_atom_site_type_symbol
_atom_site_fract_x
_atom_site_fract_y
_atom_site_fract_z
Ac1 Ac 0.5000 0.5000 0.5000
Cu1 Cu 0.2500 0.2500 0.2500
La1 La 0.0000 0.0000 0.0000
```

Properties
Offset from the most stable computed form (meV per atom): 186
Energy relative to the elements (eV/atom): 0.1232
Total DFT energy (no corrections) (eV/atom): -4.25
M_tot (Bohr magnetons per cell): 1.2

=====

[8]
Density functional theory data (PBE) for an optimized crystal structure of K2VAsH.

CIF file:
```
data_K2VAsH
_chemical_formula_sum 'K2 V1 As1 H1'
_space_group_name_H-M_alt 'P 1'
_space_group_IT_number 1
_cell_length_a 4.8866
_cell_length_b 4.6463
_cell_length_c 4.8866
_cell_angle_alpha 90.00
_cell_angle_beta 90.00
_cell_angle_gamma 90.00
loop_
_space_group_symop_operation_xyz
'x,y,z'
loop_
_atom_site_label
_atom_site_type_symbol
_atom_site_fract_x
_atom_site_fract_y
_atom_site_fract_z
K1 K 0.0000 0.0000 0.5000
K2 K 0.5000 0.0000 0.0000
As1 As 0.5000 0.5000 0.5000
H1 H 0.0000 0.0000 0.0000
V1 V 0.0000 0.5000 0.0000
```

Properties
Total DFT energy (no corrections) (eV/atom): -3.50
M_tot (Bohr magnetons per cell): 3.0

=====

[9]
Density functional theory data (PBE) for an optimized crystal structure of YTmGa.

CIF file:
```
data_YTmGa
_chemical_formula_sum 'Y3 Tm3 Ga3'
_space_group_name_H-M_alt 'P 1'
_space_group_IT_number 1
_cell_length_a 4.3075
_cell_length_b 7.9227
_cell_length_c 7.9227
_cell_angle_alpha 120.00
_cell_angle_beta 90.00
_cell_angle_gamma 90.00
loop_
_space_group_symop_operation_xyz
'x,y,z'
loop_
_atom_site_label
_atom_site_type_symbol
_atom_site_fract_x
_atom_site_fract_y
_atom_site_fract_z
Tm1 Tm 0.0000 0.2593 0.0000
Tm2 Tm 0.0000 0.0000 0.2592
Tm3 Tm 0.0000 0.7407 0.7408
Y1 Y 0.5000 0.0000 0.5947
Y2 Y 0.5000 0.4053 0.4053
Y3 Y 0.5000 0.5947 0.0000
Ga1 Ga 0.5000 0.0000 0.0000
Ga2 Ga 0.0000 0.3333 0.6667
Ga3 Ga 0.0000 0.6667 0.3333
```

Properties
Offset from the most stable computed form (meV per atom): 0
Energy relative to the elements (eV/atom): -0.4233
Total DFT energy (no corrections) (eV/atom): -5.08
M_tot (Bohr magnetons per cell): 3.1

=====

[10]
Density functional theory data (PBE) for an optimized crystal structure of Ce3Tm3MgSe8.

CIF file:
```
data_Ce3Tm3MgSe8
_chemical_formula_sum 'Ce3 Tm3 Mg1 Se8'
_space_group_name_H-M_alt 'P 1'
_space_group_IT_number 1
_cell_length_a 8.1216
_cell_length_b 8.1216
_cell_length_c 8.2666
_cell_angle_alpha 119.42
_cell_angle_beta 90.00
_cell_angle_gamma 120.00
loop_
_space_group_symop_operation_xyz
'x,y,z'
loop_
_atom_site_label
_atom_site_type_symbol
_atom_site_fract_x
_atom_site_fract_y
_atom_site_fract_z
Ce1 Ce 0.5000 0.5000 0.0000
Ce2 Ce 0.0000 0.5000 0.0000
Ce3 Ce 0.0000 0.0000 0.0000
Tm1 Tm 0.0000 0.5000 0.5000
Tm2 Tm 0.5000 0.5000 0.5000
Tm3 Tm 0.5000 0.0000 0.5000
Se1 Se 0.7573 0.5146 0.2684
Se2 Se 0.2538 0.0111 0.2684
Se3 Se 0.7462 0.9889 0.7316
Se4 Se 0.7445 0.4890 0.7335
Se5 Se 0.2427 0.4854 0.7316
Se6 Se 0.7573 0.0111 0.2684
Se7 Se 0.2555 0.5110 0.2665
Se8 Se 0.2427 0.9889 0.7316
Mg1 Mg 0.0000 0.0000 0.5000
```

Properties
Energy relative to the elements, uncorrected (eV/atom): -1.721
Total DFT energy (no corrections) (eV/atom): -5.77
M_tot (Bohr magnetons per cell): 3.4

=====

[11]
Density functional theory data (PBE) for an optimized crystal structure of Zr2IrRhC.

CIF file:
```
data_Zr2IrRhC
_chemical_formula_sum 'Zr2 Ir1 Rh1 C1'
_space_group_name_H-M_alt 'P 1'
_space_group_IT_number 1
_cell_length_a 5.1484
_cell_length_b 3.7634
_cell_length_c 5.1484
_cell_angle_alpha 90.00
_cell_angle_beta 90.00
_cell_angle_gamma 90.00
loop_
_space_group_symop_operation_xyz
'x,y,z'
loop_
_atom_site_label
_atom_site_type_symbol
_atom_site_fract_x
_atom_site_fract_y
_atom_site_fract_z
Ir1 Ir 0.0000 0.0000 0.0000
Zr1 Zr 0.5000 0.0000 0.0000
Zr2 Zr 0.0000 0.0000 0.5000
Rh1 Rh 0.5000 0.5000 0.5000
C1 C 0.0000 0.5000 0.0000
```

Properties
Energy relative to the elements (eV/atom): 0.4879
Total DFT energy (no corrections) (eV/atom): -8.02
M_tot (Bohr magnetons per cell): 0.0

=====

[12]
Density functional theory data (PBE) for an optimized crystal structure of HoTl2GaCl6.

CIF file:
```
data_HoTl2GaCl6
_chemical_formula_sum 'Ho1 Tl2 Ga1 Cl6'
_space_group_name_H-M_alt 'P 1'
_space_group_IT_number 1
_cell_length_a 7.7048
_cell_length_b 7.7053
_cell_length_c 7.8070
_cell_angle_alpha 60.42
_cell_angle_beta 60.43
_cell_angle_gamma 59.99
loop_
_space_group_symop_operation_xyz
'x,y,z'
loop_
_atom_site_label
_atom_site_type_symbol
_atom_site_fract_x
_atom_site_fract_y
_atom_site_fract_z
Cl1 Cl 0.5643 0.1766 0.2573
Cl2 Cl 0.4600 0.6472 0.7826
Cl3 Cl 0.6472 0.1100 0.7828
Cl4 Cl 0.1765 0.0019 0.2574
Cl5 Cl 0.0018 0.5644 0.2573
Cl6 Cl 0.1102 0.4600 0.7827
Ho1 Ho 0.3207 0.3206 0.0380
Ga1 Ga 0.8131 0.8131 0.5608
Tl1 Tl 0.0302 0.0302 0.9093
Tl2 Tl 0.5377 0.5377 0.3870
```

Properties
Energy relative to the elements, uncorrected (eV/atom): -1.483
Total DFT energy (no corrections) (eV/atom): -3.82
M_tot (Bohr magnetons per cell): 0.0